The following is a PBE-GGA calculation of a relaxed Y5InBi2 crystal, from Alexandria via LeMat-Bulk.

abc: 6.727 6.717 7.382
angles: 56.77 56.63 66.61
Element x y z (fractional)
Y 0.000 0.000 0.000
Y 0.478 0.953 0.522
Y 0.478 0.954 0.046
Y 0.953 0.478 0.047
Y 0.954 0.478 0.522
In 0.432 0.432 0.568
Bi 0.467 0.467 0.033
Bi 0.967 0.967 0.533

Results
M_tot: 1.65 Bohr magnetons per cell
DOS(E_F): 9.785 states/eV/f.u.
uncorrected energy: -46.09 eV per cell
calculated density: 7.0 g cm⁻³
SG: Fmm2